# 1
VASP calculation (GGA-PBE) on a geometry-optimized SrLi2Ru structure.

Results
The formation energy is 437 meV per atom. The energy comes out at -13.04 eV for the cell shown.

Geometry as extended XYZ:
```
4
Lattice="-1.176 0.954 4.537 -4.584 0.658 1.195 -2.284 -3.286 2.620" Properties=species:S:1:pos:R:3 pbc="T T T"
Ru -4.022 -0.837 4.176
Li -2.011 -0.418 2.088
Li -6.033 -1.255 6.264
Sr 0.000 0.000 0.000
```

---

# 2
VASP calculation (GGA-PBE) on a geometry-optimized Sc2Be2Ni structure.

Results
The formation energy is -111 meV per atom. The energy comes out at -52.91 eV for the cell shown.

Geometry as extended XYZ:
```
10
Lattice="6.265 0.000 0.000 0.000 6.265 0.000 0.000 0.000 3.772" Properties=species:S:1:pos:R:3 pbc="T T T"
Sc 1.121 4.253 1.886
Sc 4.253 5.144 1.886
Sc 5.144 2.011 1.886
Sc 2.011 1.121 1.886
Ni 0.000 0.000 0.000
Ni 3.132 3.132 0.000
Be 2.374 5.506 0.000
Be 5.506 3.891 0.000
Be 3.891 0.758 0.000
Be 0.758 2.374 0.000
```

---

# 3
VASP calculation (GGA-PBE) on a geometry-optimized BeSiSb2 structure.

Results
Its formation energy from raw total energies is 0.4008 eV/atom. The energy comes out at -15.79 eV for the cell shown.

Geometry as extended XYZ:
```
4
Lattice="-2.481 1.508 2.183 -0.286 -3.125 1.833 5.094 2.085 4.348" Properties=species:S:1:pos:R:3 pbc="T T T"
Sb 4.509 1.845 3.849
Sb 0.490 -0.042 3.607
Si 2.621 1.073 2.237
Be 2.349 0.719 5.194
```

---

# 4
VASP calculation (GGA-PBE) on a geometry-optimized Sr4CuPt3 structure.

Results
The formation energy is -673 meV per atom. The energy comes out at -34.33 eV for the cell shown.

Geometry as extended XYZ:
```
8
Lattice="4.291 0.000 0.000 0.000 4.491 0.000 0.000 0.000 11.336" Properties=species:S:1:pos:R:3 pbc="T T T"
Sr 2.145 2.245 4.168
Sr 0.000 2.245 9.679
Sr 0.000 0.000 1.612
Sr 2.145 0.000 7.252
Pt 0.000 2.245 6.533
Pt 0.000 0.000 4.797
Pt 2.145 0.000 10.660
Cu 2.145 2.245 0.642
```

---

# 5
VASP calculation (GGA-PBE) on a geometry-optimized Mg8Si2Pd structure.

Results
Its formation energy from raw total energies is -0.1809 eV/atom. The energy comes out at -30.79 eV for the cell shown.

Geometry as extended XYZ:
```
11
Lattice="4.449 0.000 0.000 0.000 6.597 -0.066 -2.224 -2.907 7.453" Properties=species:S:1:pos:R:3 pbc="T T T"
Mg 0.000 1.297 6.036
Mg 2.224 5.289 2.390
Mg 2.224 2.922 4.548
Mg 2.224 -1.398 7.006
Mg 0.000 0.769 2.839
Mg 0.000 -1.598 4.997
Mg 2.224 2.394 1.351
Mg 0.000 5.089 0.381
Si 2.224 0.215 4.724
Si 0.000 3.476 2.663
Pd 2.224 0.000 0.000
```

---

# 6
VASP calculation (GGA-PBE) on a geometry-optimized MgZn2Sn2 structure.

Results
The formation energy is 114 meV per atom. The energy comes out at -23.15 eV for the cell shown.

Geometry as extended XYZ:
```
10
Lattice="7.817 0.000 0.000 0.000 7.817 0.000 0.000 0.000 3.747" Properties=species:S:1:pos:R:3 pbc="T T T"
Mg 0.000 0.000 0.000
Mg 3.908 3.908 0.000
Zn 1.195 5.103 1.874
Zn 5.103 6.622 1.874
Zn 6.622 2.714 1.874
Zn 2.714 1.195 1.874
Sn 2.766 6.675 0.000
Sn 6.675 5.050 0.000
Sn 5.050 1.142 0.000
Sn 1.142 2.766 0.000
```

---

# 7
VASP calculation (GGA-PBE) on a geometry-optimized Ca3ZnGa2 structure.

Results
The formation energy is -374 meV per atom. The energy comes out at -15.58 eV for the cell shown.

Geometry as extended XYZ:
```
6
Lattice="-1.763 -0.049 -3.298 4.427 -1.205 -2.348 -3.761 -6.913 2.113" Properties=species:S:1:pos:R:3 pbc="T T T"
Ca 1.332 -0.627 -2.823
Ca 0.301 -5.638 -2.197
Ca -1.397 -2.529 -1.336
Zn 0.000 0.000 0.000
Ga -1.030 -5.006 0.626
Ga -0.066 -3.161 -4.158
```

---

# 8
VASP calculation (GGA-PBE) on a geometry-optimized SrTlPt structure.

Results
The formation energy is -524 meV per atom. The energy comes out at -23.32 eV for the cell shown.

Geometry as extended XYZ:
```
6
Lattice="5.614 0.011 0.009 2.817 5.598 -0.058 2.817 1.184 5.472" Properties=species:S:1:pos:R:3 pbc="T T T"
Sr 10.247 5.439 5.188
Sr 4.622 2.043 2.477
Tl 4.627 5.530 1.581
Tl 7.435 4.155 3.315
Pt 6.031 2.634 5.212
Pt 8.838 2.640 5.217
```